Computed, not measured: crystalline ZrBe3Se at its relaxed geometry at the PBE level of DFT.

The structure belongs to space group Pm-3m (No. 221); the cell edges are 4.285, 4.285 and 4.285 Å and the angles 90.00°, 90.00° and 90.00°. The asymmetric unit holds Zr at (0.000, 0.000, 0.000), Be at (0.000, 0.500, 0.500) and Se at (0.500, 0.500, 0.500).

The uncorrected formation energy comes out at 0.81 eV per atom. The distance to the lowest polymorph of the same formula comes out at 0 meV per atom.

Computed, not measured: crystalline Ba2TmTlO5 at its relaxed geometry at the PBE level of DFT.

The structure belongs to space group Cmc2_1 (No. 36); the cell edges are 3.599, 14.879 and 11.654 Å and the angles 90.00°, 90.00° and 90.00°. The asymmetric unit holds Ba at (0.000, 0.109, 0.000), Ba at (0.000, 0.141, 0.600), Tm at (0.000, 0.218, 0.321), Tl at (0.000, 0.476, 0.771), O at (0.000, 0.063, 0.367), O at (0.000, 0.279, 0.945), O at (0.000, 0.310, 0.700), O at (0.000, 0.366, 0.309) and O at (0.000, 0.494, 0.092).

The uncorrected formation energy comes out at -2.32 eV per atom.

Computed, not measured: crystalline RbRuRh at its relaxed geometry at the PBE level of DFT.

The structure belongs to space group Pm (No. 6); the cell edges are 5.298, 4.082 and 6.936 Å and the angles 90.00°, 97.48° and 90.00°. The asymmetric unit holds Rb at (0.000, 0.000, 0.000), Rb at (0.478, 0.500, 0.839), Ru at (0.354, 0.500, 0.359), Ru at (0.858, 0.500, 0.371), Rh at (0.128, 0.000, 0.488) and Rh at (0.626, 0.000, 0.476).

The distance to the lowest polymorph of the same formula comes out at 87 meV per atom. As for the energy of formation: 0.575 eV per atom.

Computed, not measured: crystalline K5Re2N6 at its relaxed geometry at the PBE level of DFT.

The structure belongs to space group C2/c (No. 15); the cell edges are 11.069, 6.996 and 14.915 Å and the angles 90.00°, 99.59° and 90.00°. The asymmetric unit holds K at (0.000, 0.100, 0.250), K at (0.062, 0.237, 0.995), K at (0.151, 0.443, 0.712), Re at (0.225, 0.360, 0.423), N at (0.075, 0.438, 0.374), N at (0.162, 0.062, 0.642) and N at (0.232, 0.083, 0.447).

The uncorrected formation energy comes out at -0.30 eV per atom.

Computed, not measured: crystalline Cs4Tl2Hg3 at its relaxed geometry at the PBE level of DFT.

The structure belongs to space group C2/m (No. 12); the cell edges are 20.177, 4.860 and 9.615 Å and the angles 90.00°, 107.23° and 90.00°. The asymmetric unit holds Cs at (0.072, 0.000, 0.377), Cs at (0.247, 0.500, 0.204), Tl at (0.090, 0.000, 0.969), Hg at (0.000, 0.500, 0.000) and Hg at (0.095, 0.500, 0.739).

As for the energy of formation: -0.149 eV per atom.

Computed, not measured: crystalline Ti3Zn2Pt4 at its relaxed geometry at the PBE level of DFT.

The structure belongs to space group C2/m (No. 12); the cell edges are 7.737, 4.564 and 8.292 Å and the angles 90.00°, 101.45° and 90.00°. The asymmetric unit holds Ti at (0.000, 0.000, 0.000), Ti at (0.138, 0.500, 0.755), Zn at (0.220, 0.500, 0.412), Pt at (0.035, 0.000, 0.318) and Pt at (0.183, 0.500, 0.078).

As for the energy of formation: -0.743 eV per atom.

Respective final energy values: -19.169, -225.575, -31.737, -336.813, -20.788, -114.168 eV for the cell shown.